Compound: PmCrBi2O6
Source: Alexandria via LeMat-Bulk
Functional: GGA+U
Structure: optimized geometry

a b c (Å): 5.885 5.889 6.005
angles (deg): 90.04 119.31 119.93
Element x y z (fractional)
1 Pm 0.000 0.000 0.000
2 Cr 0.031 0.516 0.546
3 Bi 0.437 0.219 0.656
4 Bi 0.448 0.724 0.173
5 O 0.163 0.787 0.340
6 O 0.175 0.849 0.814
7 O 0.489 0.639 0.813
8 O 0.554 0.375 0.341
9 O 0.966 0.178 0.341
10 O 0.966 0.327 0.815

Computed properties:
The density of states at the Fermi level is 0.000 states/eV per atom. The calculation puts the total DFT energy (no corrections) at -6.862 eV/atom. The total moment is 3.0 μB/f.u.